No. 1
# LiAc2Rh2 (GGA-PBE, optimized geometry)
# * offset from the most stable computed form: 0.00 eV per formula unit
# * total energy: -27.381 eV/f.u.
# * DOS(E_F): 0.460 states/eV per atom
# * ρ: 9.162 Mg/m³
# * E_form: -0.510 eV/atom
data_LiAc2Rh2
_chemical_formula_sum 'Li4 Ac8 Rh8'
_space_group_name_H-M_alt 'C 1 2/c 1'
_space_group_IT_number 15
_space_group_name_Hall '-C 2yc'
_cell_length_a 10.6885
_cell_length_b 5.7709
_cell_length_c 8.1580
_cell_angle_alpha 90.00
_cell_angle_beta 106.13
_cell_angle_gamma 90.00
loop_
_atom_site_label
_atom_site_fract_x
_atom_site_fract_y
_atom_site_fract_z
Li1 0.0000 0.1159 0.2500
Ac1 0.1469 0.3508 0.6502
Rh1 0.1327 0.1441 0.0133



No. 2
# Y3Al4Si2 (GGA-PBE, optimized geometry)
# * total energy: -50.176 eV/f.u.
# * DOS(E_F): 0.415 states/eV per atom
# * ρ: 3.817 Mg/m³
# * E_form (uncorrected): -0.55 eV per atom
data_Y3Al4Si2
_chemical_formula_sum 'Y6 Al8 Si4'
_space_group_name_H-M_alt 'C 1 2/m 1'
_space_group_IT_number 12
_space_group_name_Hall '-C 2y'
_cell_length_a 10.8875
_cell_length_b 4.2315
_cell_length_c 8.3823
_cell_angle_alpha 90.00
_cell_angle_beta 103.94
_cell_angle_gamma 90.00
loop_
_atom_site_label
_atom_site_fract_x
_atom_site_fract_y
_atom_site_fract_z
Y1 0.0000 0.0000 0.0000
Y2 0.1691 0.5000 0.6617
Al1 0.0493 0.0000 0.3808
Al2 0.2272 0.5000 0.0642
Si1 0.1110 0.5000 0.2785



No. 3
# LiPuSCl (GGA-PBE, optimized geometry)
# * total energy: -28.424 eV/f.u.
# * DOS(E_F): 2.018 states/eV per atom
# * ρ: 5.733 Mg/m³
# * E_form (uncorrected): -1.55 eV per atom
data_LiPuSCl
_chemical_formula_sum 'Li6 Pu6 S6 Cl6'
_space_group_name_H-M_alt 'R -3 m'
_space_group_IT_number 166
_space_group_name_Hall '-R 3 2"'
_cell_length_a 3.9936
_cell_length_b 3.9936
_cell_length_c 40.0673
_cell_angle_alpha 90.00
_cell_angle_beta 90.00
_cell_angle_gamma 120.00
loop_
_atom_site_label
_atom_site_fract_x
_atom_site_fract_y
_atom_site_fract_z
Li1 0.0000 0.0000 0.1876
Pu1 0.0000 0.0000 0.4164
S1 0.0000 0.0000 0.1252
Cl1 0.0000 0.0000 0.2906



No. 4
# LiBeHg2 (GGA-PBE, optimized geometry)
# * total energy: -5.813 eV/f.u.
# * DOS(E_F): 0.293 states/eV per atom
# * ρ: 9.277 Mg/m³
# * E_form: 0.108 eV/atom
data_LiBeHg2
_chemical_formula_sum 'Li2 Be2 Hg4'
_space_group_name_H-M_alt 'I m m 2'
_space_group_IT_number 44
_space_group_name_Hall 'I 2 -2'
_cell_length_a 2.8952
_cell_length_b 4.1026
_cell_length_c 12.5717
_cell_angle_alpha 90.00
_cell_angle_beta 90.00
_cell_angle_gamma 90.00
loop_
_atom_site_label
_atom_site_fract_x
_atom_site_fract_y
_atom_site_fract_z
Li1 0.0000 0.0000 0.0000
Be1 0.0000 0.5000 0.6943
Hg1 0.0000 0.0000 0.3735
Hg2 0.0000 0.5000 0.1614



No. 5
# AcDy2Sn2 (GGA-PBE, optimized geometry)
# * total energy: -24.134 eV/f.u.
# * DOS(E_F): 0.980 states/eV per atom
# * ρ: 8.226 Mg/m³
# * E_form: -0.563 eV/atom
data_AcDy2Sn2
_chemical_formula_sum 'Ac2 Dy4 Sn4'
_space_group_name_H-M_alt 'P -1'
_space_group_IT_number 2
_space_group_name_Hall '-P 1'
_cell_length_a 6.4558
_cell_length_b 6.5093
_cell_length_c 8.8267
_cell_angle_alpha 103.12
_cell_angle_beta 90.39
_cell_angle_gamma 117.18
loop_
_atom_site_label
_atom_site_fract_x
_atom_site_fract_y
_atom_site_fract_z
Ac1 0.0208 0.3064 0.1456
Dy1 0.2864 0.3107 0.6541
Dy2 0.3477 0.0089 0.2606
Sn1 0.2179 0.7223 0.5018
Sn2 0.4974 0.2726 0.9974



No. 6
# PtRh2Cl (GGA-PBE, optimized geometry)
# * offset from the most stable computed form: 0.48 eV per formula unit
# * total energy: -21.277 eV/f.u.
# * DOS(E_F): 1.108 states/eV per atom
# * ρ: 11.538 Mg/m³
# * E_form (uncorrected): 0.33 eV per atom
data_PtRh2Cl
_chemical_formula_sum 'Pt1 Rh2 Cl1'
_space_group_name_H-M_alt 'P 4/m m m'
_space_group_IT_number 123
_space_group_name_Hall '-P 4 2'
_cell_length_a 2.9799
_cell_length_b 2.9799
_cell_length_c 7.0718
_cell_angle_alpha 90.00
_cell_angle_beta 90.00
_cell_angle_gamma 90.00
loop_
_atom_site_label
_atom_site_fract_x
_atom_site_fract_y
_atom_site_fract_z
Pt1 0.0000 0.0000 0.0000
Rh1 0.5000 0.5000 0.2345
Cl1 0.0000 0.0000 0.5000



No. 7
# TbPm6Pr (GGA-PBE, optimized geometry)
# * total energy: -37.782 eV/f.u.
# * DOS(E_F): 1.639 states/eV per atom
# * ρ: 7.095 Mg/m³
# * E_form: 0.016 eV/atom
data_TbPm6Pr
_chemical_formula_sum 'Tb1 Pm6 Pr1'
_space_group_name_H-M_alt 'P 4/m m m'
_space_group_IT_number 123
_space_group_name_Hall '-P 4 2'
_cell_length_a 5.1532
_cell_length_b 5.1532
_cell_length_c 10.3102
_cell_angle_alpha 90.00
_cell_angle_beta 90.00
_cell_angle_gamma 90.00
loop_
_atom_site_label
_atom_site_fract_x
_atom_site_fract_y
_atom_site_fract_z
Tb1 0.0000 0.0000 0.0000
Pm1 0.0000 0.5000 0.2475
Pm2 0.5000 0.5000 0.0000
Pm3 0.5000 0.5000 0.5000
Pr1 0.0000 0.0000 0.5000



No. 8
# Na7Cd2 (GGA-PBE, optimized geometry)
# * total energy: -11.141 eV/f.u.
# * DOS(E_F): 0.524 states/eV per atom
# * ρ: 2.293 Mg/m³
# * E_form: -0.009 eV/atom
data_Na7Cd2
_chemical_formula_sum 'Na7 Cd2'
_space_group_name_H-M_alt 'P -3 1 m'
_space_group_IT_number 162
_space_group_name_Hall '-P 3 2'
_cell_length_a 6.1273
_cell_length_b 6.1273
_cell_length_c 8.5923
_cell_angle_alpha 90.00
_cell_angle_beta 90.00
_cell_angle_gamma 120.00
loop_
_atom_site_label
_atom_site_fract_x
_atom_site_fract_y
_atom_site_fract_z
Na1 0.0000 0.0000 0.0000
Na2 0.0000 0.3438 0.6812
Cd1 0.3333 0.6667 0.0000